Computed, not measured: YZn6Co6 after structural relaxation at the PBE level of DFT.

Results
**Formation energy from the elements**: -0.126 eV/atom

Lattice parameters (Å, degrees): 4.9070 6.5153 6.5153 82.03 67.88 67.88
With the nearest neighbours (Å) after each atom.
Fractional positions:
Zn: 0.6502 0.3498 0.3498  3 Zn 2.56-2.76, 6 Co 2.60-2.61
Co: 0.5000 0.0000 0.5000  4 Co 2.45-2.46, 6 Zn 2.50-2.61
Co: 0.0000 0.0000 0.5000  4 Co 2.45-2.46, 6 Zn 2.50-2.61
Co: 0.0000 0.5000 0.0000  4 Co 2.45-2.46, 6 Zn 2.50-2.61
Zn: 0.7014 0.7986 0.7986  6 Co 2.50-2.64, 2 Zn 2.76
Zn: 0.2986 0.2014 0.2014  6 Co 2.50-2.64, 2 Zn 2.76
Zn: 0.3498 0.6502 0.6502  3 Zn 2.56-2.76, 6 Co 2.60-2.61
Co: 0.5000 0.7648 0.2352  4 Co 2.46, 6 Zn 2.60-2.64
Co: 0.5000 0.5000 0.0000  4 Co 2.45-2.46, 6 Zn 2.50-2.61
Co: 0.5000 0.2352 0.7648  4 Co 2.46, 6 Zn 2.60-2.64
Zn: 0.0000 0.3386 0.6614  6 Co 2.57-2.61, 1 Zn 2.76
Zn: 0.0000 0.6614 0.3386  6 Co 2.57-2.61, 1 Zn 2.76
Y: 0.0000 0.0000 0.0000  8 Zn 2.90-2.99, 4 Co 3.17

=====

Computed, not measured: Mg2AgRu after structural relaxation at the PBE level of DFT.

Results
**Formation energy from the elements**: -0.073 eV/atom

Lattice parameters (Å, degrees): 3.4957 4.3456 4.3456 90.00 90.00 90.00
With the nearest neighbours (Å) after each atom.
Fractional positions:
Ag: 0.5000 0.5000 0.5000  8 Mg 2.79, 4 Ru 3.07
Mg: 0.0000 0.5000 0.0000  4 Ru 2.79, 4 Ag 2.79, 4 Mg 3.07
Ru: 0.5000 0.0000 0.0000  8 Mg 2.79, 4 Ag 3.07
Mg: 0.0000 0.0000 0.5000  4 Ru 2.79, 4 Ag 2.79, 4 Mg 3.07

=====

Computed, not measured: VC2N after structural relaxation at the PBE level of DFT.

Results
**Energy relative to the elements, uncorrected**: 1026 meV/atom

Lattice parameters (Å, degrees): 4.5738 4.5738 4.4188 58.83 58.83 90.00
With the nearest neighbours (Å) after each atom.
Fractional positions:
N: 0.2500 0.7500 0.5000  4 C 1.54
C: 0.8750 0.7800 0.7500  2 N 1.54
V: 0.7500 0.2500 0.5000  4 C 2.09
N: 0.5000 0.5000 0.0000  4 C 1.54
C: 0.3750 0.4700 0.7500  2 N 1.54
C: 0.2200 0.6250 0.2500  2 N 1.54
V: 0.0000 0.0000 0.0000  4 C 2.09
C: 0.5300 0.1250 0.2500  2 N 1.54

=====

Computed, not measured: Mg3ZrCd12 after structural relaxation at the PBE level of DFT.

Results
**Formation energy from the elements**: -0.069 eV/atom

Lattice parameters (Å, degrees): 4.4739 4.4739 17.4280 90.00 90.00 90.00
With the nearest neighbours (Å) after each atom.
Fractional positions:
Mg: 0.0000 0.0000 0.5000  12 Cd 3.14-3.16
Cd: 0.5000 0.5000 0.5000  8 Cd 3.14, 4 Mg 3.16
Cd: 0.0000 0.5000 0.3737  8 Cd 3.10-3.16, 4 Mg 3.14-3.15
Cd: 0.5000 0.5000 0.2505  8 Cd 3.10-3.14, 4 Mg 3.16
Mg: 0.0000 0.0000 0.2461  12 Cd 3.09-3.16
Cd: 0.5000 0.5000 0.0000  8 Cd 3.11, 4 Zr 3.16
Zr: 0.0000 0.0000 0.0000  12 Cd 3.11-3.16
Cd: 0.5000 0.0000 0.8760  2 Mg 3.09, 2 Zr 3.11, 8 Cd 3.11-3.16
Cd: 0.0000 0.5000 0.1240  2 Mg 3.09, 8 Cd 3.11-3.16, 2 Zr 3.11
Cd: 0.5000 0.5000 0.7495  8 Cd 3.10-3.14, 4 Mg 3.16
Cd: 0.5000 0.0000 0.6263  8 Cd 3.10-3.16, 4 Mg 3.14-3.15
Cd: 0.0000 0.5000 0.6263  8 Cd 3.10-3.16, 4 Mg 3.14-3.15
Cd: 0.0000 0.5000 0.8760  2 Mg 3.09, 8 Cd 3.11-3.16, 2 Zr 3.11
Mg: 0.0000 0.0000 0.7539  12 Cd 3.09-3.16
Cd: 0.5000 0.0000 0.1240  2 Mg 3.09, 2 Zr 3.11, 8 Cd 3.11-3.16
Cd: 0.5000 0.0000 0.3737  8 Cd 3.10-3.16, 4 Mg 3.14-3.15

=====

Computed, not measured: AlWCl4 after structural relaxation at the PBE level of DFT.

Results
**Energy relative to the elements, uncorrected**: 1258 meV/atom

Lattice parameters (Å, degrees): 5.8134 5.8134 5.8134 60.00 60.00 60.00
With the nearest neighbours (Å) after each atom.
Fractional positions:
Cl: 0.3756 0.3756 0.8731  6 Cl 2.89-2.92
Cl: 0.8731 0.3756 0.3756  6 Cl 2.89-2.92
Al: 0.0000 0.0000 0.0000  12 Cl 3.41, 4 W 3.56
Cl: 0.3756 0.8731 0.3756  6 Cl 2.89-2.92
Cl: 0.3756 0.3756 0.3756  6 Cl 2.89-2.92
W: 0.7500 0.7500 0.7500  12 Cl 3.41, 4 Al 3.56

=====

Computed, not measured: CaLaGePb after structural relaxation at the PBE level of DFT.

Results
**Formation energy from the elements**: -0.507 eV/atom

Lattice parameters (Å, degrees): 5.4481 5.4481 5.4481 60.00 60.00 60.00
With the nearest neighbours (Å) after each atom.
Fractional positions:
Pb: 0.7500 0.7500 0.7500  4 La 3.34, 4 Ca 3.34
La: 0.0000 0.0000 0.0000  4 Ge 3.34, 4 Pb 3.34
Ge: 0.2500 0.2500 0.2500  4 La 3.34, 4 Ca 3.34
Ca: 0.5000 0.5000 0.5000  4 Ge 3.34, 4 Pb 3.34

=====

Computed, not measured: TbPrHo2Sc2 after structural relaxation at the PBE level of DFT.

Results
**Formation energy from the elements**: 0.080 eV/atom

Lattice parameters (Å, degrees): 5.4961 9.5556 6.7860 90.00 90.00 90.00
With the nearest neighbours (Å) after each atom.
Fractional positions:
Tb: 0.5000 0.5000 0.0000  2 Pr 3.39, 6 Ho 3.59-3.62, 6 Sc 3.60-3.61
Ho: 0.0000 0.6665 0.7520  5 Sc 3.18-3.41
Ho: 0.0000 0.3335 0.2480  5 Sc 3.18-3.41
Tb: 0.0000 0.0000 0.5000  2 Pr 3.39, 6 Ho 3.59-3.62, 6 Sc 3.60-3.61
Pr: 0.0000 0.0000 0.0000  2 Tb 3.39, 6 Sc 3.60-3.61, 6 Ho 3.60-3.61
Ho: 0.5000 0.8335 0.2520  5 Sc 3.18-3.41
Sc: 0.5000 0.8333 0.7498  5 Ho 3.18-3.41
Sc: 0.5000 0.1667 0.2502  5 Ho 3.18-3.41
Sc: 0.0000 0.6667 0.2498  5 Ho 3.18-3.41
Sc: 0.0000 0.3333 0.7502  5 Ho 3.18-3.41
Pr: 0.5000 0.5000 0.5000  2 Tb 3.39, 6 Sc 3.60-3.61, 6 Ho 3.60-3.61
Ho: 0.5000 0.1665 0.7480  5 Sc 3.18-3.41

=====

Computed, not measured: PaMo2Ru after structural relaxation at the PBE level of DFT.

Results
**Formation energy from the elements**: 0.184 eV/atom

Lattice parameters (Å, degrees): 4.5337 4.5337 4.6986 61.15 61.15 60.00
With the nearest neighbours (Å) after each atom.
Fractional positions:
Mo: 0.7568 0.7568 0.7295  4 Pa 2.77-3.01, 4 Ru 2.82-2.85
Mo: 0.2432 0.2432 0.2705  4 Pa 2.77-3.01, 4 Ru 2.82-2.85
Pa: 0.5000 0.5000 0.5000  8 Mo 2.77-3.01
Ru: 0.0000 0.0000 0.0000  8 Mo 2.82-2.85

=====

Computed, not measured: Na3NbO after structural relaxation at the PBE level of DFT.

Results
**Energy relative to the elements, uncorrected**: 1507 meV/atom

Lattice parameters (Å, degrees): 5.8831 5.8831 5.8831 90.00 90.00 90.00
With the nearest neighbours (Å) after each atom.
Fractional positions:
Nb: 0.0000 0.0000 0.0000  6 Na 2.94
Na: 0.0000 0.5000 0.0000  2 Nb 2.94
Na: 0.0000 0.0000 0.5000  2 Nb 2.94
O: 0.5000 0.5000 0.5000  12 Na 4.16
Na: 0.5000 0.0000 0.0000  2 Nb 2.94

=====

Computed, not measured: RbI3Cl after structural relaxation at the PBE level of DFT.

Results
**Energy relative to the elements, uncorrected**: 115 meV/atom

Lattice parameters (Å, degrees): 7.1310 7.1310 7.1310 90.00 90.00 90.00
With the nearest neighbours (Å) after each atom.
Fractional positions:
Cl: 0.5000 0.5000 0.5000  12 I 5.04
I: 0.5000 0.0000 0.0000  2 Rb 3.57
Rb: 0.0000 0.0000 0.0000  6 I 3.57
I: 0.0000 0.0000 0.5000  2 Rb 3.57
I: 0.0000 0.5000 0.0000  2 Rb 3.57

=====

Computed, not measured: AcTeIO4 after structural relaxation at the PBE level of DFT.

Results
**Energy relative to the elements, uncorrected**: -1660 meV/atom

Lattice parameters (Å, degrees): 6.9675 6.9675 7.5186 77.40 77.40 67.07
With the nearest neighbours (Å) after each atom.
Fractional positions:
O: 0.1276 0.4882 0.1406  1 Te 1.87
O: 0.5118 0.8724 0.8594  1 Te 1.87
O: 0.6965 0.6965 0.4925  1 Te 1.84
O: 0.4690 0.4690 0.7993  1 Te 1.83
Ac: 0.7528 0.7528 0.1488  4 O 2.49-2.54
Te: 0.3676 0.3676 0.2567  4 O 1.83-1.87
Ac: 0.2472 0.2472 0.8512  4 O 2.49-2.54
O: 0.4882 0.1276 0.1406  1 Te 1.87
Te: 0.6324 0.6324 0.7433  4 O 1.83-1.87
O: 0.3035 0.3035 0.5075  1 Te 1.84
O: 0.5310 0.5310 0.2007  1 Te 1.83
O: 0.8724 0.5118 0.8594  1 Te 1.87
I: 0.9818 0.9818 0.7504  2 Ac 3.36-3.45, 5 O 3.53-3.71, 1 I 3.68
I: 0.0182 0.0182 0.2496  2 Ac 3.36-3.45, 5 O 3.53-3.71, 1 I 3.68

=====

Computed, not measured: SrCaB2F after structural relaxation at the PBE level of DFT.

Results
**Energy relative to the elements, uncorrected**: 1435 meV/atom

Lattice parameters (Å, degrees): 4.6968 7.4442 4.6968 90.00 90.00 90.00
With the nearest neighbours (Å) after each atom.
Fractional positions:
F: 0.5000 0.5000 0.5000  4 Ca 3.32
B: 0.0000 0.0000 0.5000  2 Sr 2.35
B: 0.5000 0.0000 0.0000  2 Sr 2.35
Sr: 0.0000 0.0000 0.0000  4 B 2.35
Ca: 0.0000 0.5000 0.0000  4 F 3.32

=====

Computed, not measured: NiHgPt2 after structural relaxation at the PBE level of DFT.

Results
**Formation energy from the elements**: 0.075 eV/atom

Lattice parameters (Å, degrees): 9.1691 9.1691 9.1691 17.94 17.94 17.94
With the nearest neighbours (Å) after each atom.
Fractional positions:
Pt: 0.4910 0.4910 0.4910  3 Ni 2.60, 6 Pt 2.86
Pt: 0.0090 0.0090 0.0090  3 Ni 2.60, 6 Pt 2.86
Hg: 0.2500 0.2500 0.2500  6 Hg 2.86, 6 Pt 2.99
Ni: 0.7500 0.7500 0.7500  6 Pt 2.60, 6 Ni 2.86

=====

Computed, not measured: YNpPt4 after structural relaxation at the PBE level of DFT.

Results
**Formation energy from the elements**: -0.833 eV/atom

Lattice parameters (Å, degrees): 5.4437 5.4437 5.4437 60.00 60.00 60.00
With the nearest neighbours (Å) after each atom.
Fractional positions:
Pt: 0.6251 0.1247 0.6251  6 Pt 2.72
Np: 0.0000 0.0000 0.0000  12 Pt 3.19, 4 Y 3.33
Pt: 0.6251 0.6251 0.6251  6 Pt 2.72
Pt: 0.1247 0.6251 0.6251  6 Pt 2.72
Pt: 0.6251 0.6251 0.1247  6 Pt 2.72
Y: 0.2500 0.2500 0.2500  12 Pt 3.19, 4 Np 3.33

=====

Computed, not measured: CsBaSe2O6 after structural relaxation at the PBE level of DFT.

Results
**Energy relative to the elements, uncorrected**: -1455 meV/atom

Lattice parameters (Å, degrees): 7.6798 7.6798 7.9272 102.38 102.38 99.25
With the nearest neighbours (Å) after each atom.
Fractional positions:
O: 0.8098 0.7977 0.3866  1 Se 1.72
Se: 0.8775 0.6948 0.7188  3 O 1.70-1.72
Se: 0.1225 0.3052 0.2812  3 O 1.70-1.72
O: 0.7977 0.8098 0.8866  1 Se 1.72
O: 0.3832 0.9384 0.6893  1 Se 1.70
Cs: 0.1798 0.8202 0.2500  8 O 3.10-3.44
Se: 0.3052 0.1225 0.7812  3 O 1.70-1.72
Cs: 0.8202 0.1798 0.7500  8 O 3.10-3.44
Se: 0.6948 0.8775 0.2188  3 O 1.70-1.72
O: 0.5046 0.7049 0.1150  1 Se 1.72
Ba: 0.5967 0.4033 0.2500  8 O 2.73-3.04
O: 0.4954 0.2951 0.8850  1 Se 1.72
O: 0.2023 0.1902 0.1134  1 Se 1.72
O: 0.1902 0.2023 0.6134  1 Se 1.72
Ba: 0.4033 0.5967 0.7500  8 O 2.73-3.04
O: 0.0616 0.6168 0.8107  1 Se 1.70
O: 0.2951 0.4954 0.3850  1 Se 1.72
O: 0.7049 0.5046 0.6150  1 Se 1.72
O: 0.6168 0.0616 0.3107  1 Se 1.70
O: 0.9384 0.3832 0.1893  1 Se 1.70

=====

Computed, not measured: SmLuSn2 after structural relaxation at the PBE level of DFT.

Results
**Formation energy from the elements**: -0.493 eV/atom

Lattice parameters (Å, degrees): 3.7989 3.7989 9.4128 78.36 78.36 60.00
With the nearest neighbours (Å) after each atom.
Fractional positions:
Lu: 0.0000 0.0000 0.0000  6 Sn 3.12
Sn: 0.7472 0.7472 0.7583  3 Lu 3.12, 3 Sm 3.22
Sn: 0.2528 0.2528 0.2417  3 Lu 3.12, 3 Sm 3.22
Sm: 0.5000 0.5000 0.5000  6 Sn 3.22

=====

Computed, not measured: SiPt2Rh after structural relaxation at the PBE level of DFT.

Results
**Energy relative to the elements, uncorrected**: -75 meV/atom

Lattice parameters (Å, degrees): 3.7292 3.7292 9.4996 78.68 78.68 90.00
With the nearest neighbours (Å) after each atom.
Fractional positions:
Si: 0.5000 0.5000 0.0000  4 Pt 2.63, 4 Rh 2.64
Pt: 0.8750 0.8722 0.7500  4 Pt 2.62-2.65, 2 Si 2.63, 2 Rh 2.64
Si: 0.2500 0.7500 0.5000  4 Pt 2.63, 4 Rh 2.64
Pt: 0.6222 0.1250 0.2500  4 Pt 2.62-2.65, 2 Si 2.63, 2 Rh 2.64
Pt: 0.1278 0.6250 0.2500  4 Pt 2.62-2.65, 2 Si 2.63, 2 Rh 2.64
Rh: 0.7500 0.2500 0.5000  4 Si 2.64, 4 Pt 2.64
Rh: 0.0000 0.0000 0.0000  4 Si 2.64, 4 Pt 2.64
Pt: 0.3750 0.3778 0.7500  4 Pt 2.62-2.65, 2 Si 2.63, 2 Rh 2.64

=====

Computed, not measured: TeMoPtI2 after structural relaxation at the PBE level of DFT.

Results
**Energy relative to the elements, uncorrected**: 935 meV/atom

Lattice parameters (Å, degrees): 5.4741 5.4741 5.3524 90.00 90.00 90.00
With the nearest neighbours (Å) after each atom.
Fractional positions:
I: 0.0000 0.5000 0.0000  2 Pt 2.74
Pt: 0.0000 0.0000 0.0000  2 Te 2.68, 4 I 2.74
I: 0.5000 0.0000 0.0000  2 Pt 2.74
Te: 0.0000 0.0000 0.5000  2 Pt 2.68
Mo: 0.5000 0.5000 0.5000  8 I 3.83, 4 Te 3.87

=====

Computed, not measured: PmHo6Th after structural relaxation at the PBE level of DFT.

Results
**Formation energy from the elements**: 0.228 eV/atom

Lattice parameters (Å, degrees): 6.7231 6.5359 6.8082 101.68 61.69 90.54
With the nearest neighbours (Å) after each atom.
Fractional positions:
Ho: 0.4268 0.2327 0.4815  6 Ho 3.24-3.61, 1 Th 3.43
Ho: 0.9094 0.2709 0.5194  4 Ho 3.24-3.38, 1 Pm 3.38
Ho: 0.4572 0.2527 0.9964  5 Ho 3.24-3.58, 1 Pm 3.47, 1 Th 3.47
Ho: 0.0906 0.7291 0.4806  4 Ho 3.24-3.38, 1 Pm 3.38
Ho: 0.5428 0.7473 0.0036  5 Ho 3.24-3.58, 1 Pm 3.47, 1 Th 3.47
Ho: 0.5732 0.7673 0.5185  6 Ho 3.24-3.61, 1 Th 3.43
Pm: 0.0000 0.0000 0.0000  2 Th 3.27, 4 Ho 3.38-3.47
Th: 0.0000 0.5000 0.0000  2 Pm 3.27, 6 Ho 3.43-3.63

=====

Computed, not measured: MgPaOs2 after structural relaxation at the PBE level of DFT.

Results
**Formation energy from the elements**: -0.115 eV/atom

Lattice parameters (Å, degrees): 4.6814 4.6814 4.6814 60.00 60.00 60.00
With the nearest neighbours (Å) after each atom.
Fractional positions:
Os: 0.2500 0.2500 0.2500  4 Pa 2.87, 4 Mg 2.87
Pa: 0.0000 0.0000 0.0000  8 Os 2.87
Os: 0.7500 0.7500 0.7500  4 Pa 2.87, 4 Mg 2.87
Mg: 0.5000 0.5000 0.5000  8 Os 2.87

=====

Computed, not measured: SrCa2 after structural relaxation at the PBE level of DFT.

Results
**Formation energy from the elements**: 0.015 eV/atom

Lattice parameters (Å, degrees): 8.9018 8.9018 8.9018 153.74 153.74 37.48
With the nearest neighbours (Å) after each atom.
Fractional positions:
Ca: 0.6722 0.6722 0.0000  8 Ca 3.88-4.04, 4 Sr 4.08
Sr: 0.0000 0.0000 0.0000  4 Sr 4.04, 8 Ca 4.08
Ca: 0.3278 0.3278 0.0000  8 Ca 3.88-4.04, 4 Sr 4.08

=====

Computed, not measured: AcSmAgHg after structural relaxation at the PBE level of DFT.

Results
**Formation energy from the elements**: -0.346 eV/atom

Lattice parameters (Å, degrees): 5.4980 5.4980 5.4980 60.00 60.00 60.00
With the nearest neighbours (Å) after each atom.
Fractional positions:
Hg: 0.7500 0.7500 0.7500  4 Sm 3.37, 4 Ac 3.37
Sm: 0.5000 0.5000 0.5000  4 Ag 3.37, 4 Hg 3.37
Ac: 0.0000 0.0000 0.0000  4 Hg 3.37, 4 Ag 3.37
Ag: 0.2500 0.2500 0.2500  4 Ac 3.37, 4 Sm 3.37

=====

Computed, not measured: SrCu2Pb after structural relaxation at the PBE level of DFT.

Results
**Formation energy from the elements**: 0.076 eV/atom

Lattice parameters (Å, degrees): 3.4643 3.4605 7.5809 90.00 90.00 90.00
With the nearest neighbours (Å) after each atom.
Fractional positions:
Cu: 0.0000 0.0000 0.0725  4 Cu 2.64, 1 Pb 2.74
Cu: 0.5000 0.5000 0.2031  4 Cu 2.64
Sr: 0.5000 0.5000 0.7906  5 Cu 3.13-3.25, 4 Sr 3.46
Pb: 0.0000 0.0000 0.4338  5 Cu 2.74-3.01